# 1
The following is a GGA-PBE calculation of a relaxed Tc3RuBr crystal, from the Alexandria database.

It has space group Pm-3m (No. 221), with a = 4.7535 Å, b = 4.7535 Å, c = 4.7535 Å, α = 90.00°, β = 90.00° and γ = 90.00°. The distinct sites, in fractional coordinates, are Tc at (0.0000, 0.0000, 0.5000), Ru at (0.0000, 0.0000, 0.0000) and Br at (0.5000, 0.5000, 0.5000).

The calculation puts the total moment at 4.550 μB/f.u. The total energy comes out at -6.54 eV per atom. The uncorrected formation energy is 1873 meV per atom.


# 2
The following is a GGA-PBE calculation of a relaxed TcRu3Br crystal, from the Alexandria database.

It has space group Pm-3m (No. 221), with a = 4.7409 Å, b = 4.7409 Å, c = 4.7409 Å, α = 90.00°, β = 90.00° and γ = 90.00°. The distinct sites, in fractional coordinates, are Tc at (0.0000, 0.0000, 0.0000), Ru at (0.0000, 0.0000, 0.5000) and Br at (0.5000, 0.5000, 0.5000).

The calculation puts the total moment at 3.855 μB/f.u. The total energy comes out at -6.22 eV per atom. The uncorrected formation energy is 1758 meV per atom.


# 3
The following is a GGA-PBE calculation of a relaxed TcRuBr2 crystal, from the Alexandria database.

It has space group Imm2 (No. 44), with a = 3.0220 Å, b = 3.9439 Å, c = 15.0976 Å, α = 90.00°, β = 90.00° and γ = 90.00°. The distinct sites, in fractional coordinates, are Tc at (0.0000, 0.0000, 0.0000), Ru at (0.0000, 0.5000, 0.3667), Br at (0.0000, 0.0000, 0.5648) and Br at (0.0000, 0.5000, 0.8020).

The calculation puts the total moment at 0.002 μB/f.u. The total energy comes out at -5.01 eV per atom. The uncorrected formation energy is 733 meV per atom.


# 4
The following is a GGA-PBE calculation of a relaxed Tl2TcRuBr crystal, from the Alexandria database.

It has space group P4/mmm (No. 123), with a = 5.4241 Å, b = 5.4241 Å, c = 4.7013 Å, α = 90.00°, β = 90.00° and γ = 90.00°. The distinct sites, in fractional coordinates, are Tl at (0.0000, 0.5000, 0.0000), Tc at (0.0000, 0.0000, 0.5000), Ru at (0.0000, 0.0000, 0.0000) and Br at (0.5000, 0.5000, 0.5000).

The calculation puts the total moment at 2.771 μB/f.u. The total energy comes out at -4.59 eV per atom. The uncorrected formation energy is 616 meV per atom.


# 5
The following is a GGA-PBE calculation of a relaxed ZrTcRu2Br crystal, from the Alexandria database.

It has space group P4/mmm (No. 123), with a = 4.9105 Å, b = 4.9105 Å, c = 5.0735 Å, α = 90.00°, β = 90.00° and γ = 90.00°. The distinct sites, in fractional coordinates, are Zr at (0.0000, 0.0000, 0.0000), Tc at (0.0000, 0.0000, 0.5000), Ru at (0.0000, 0.5000, 0.0000) and Br at (0.5000, 0.5000, 0.5000).

The calculation puts the total moment at 5.955 μB/f.u. The total energy comes out at -5.99 eV per atom. The uncorrected formation energy is 1836 meV per atom.


# 6
The following is a GGA-PBE calculation of a relaxed Te2RuBr crystal, from the Alexandria database.

It has space group R-3m (No. 166, hexagonal axes), with a = 3.1264 Å, b = 3.1264 Å, c = 37.7179 Å, α = 90.00°, β = 90.00° and γ = 120.00°. The distinct sites, in fractional coordinates, are Te at (0.0000, 0.0000, 0.0677), Ru at (0.0000, 0.0000, 0.0000) and Br at (0.0000, 0.0000, 0.5000).

The calculation puts the total moment at 0.000 μB/f.u. The total energy comes out at -3.80 eV per atom. The uncorrected formation energy is 507 meV per atom.


Which of these has the highest total moment? ZrTcRu2Br